1.
A plane-wave DFT calculation with PBE was carried out for a relaxed CaErAg2 crystal.

```
4
Lattice="3.648 0.000 0.000 0.000 3.648 0.000 0.000 0.000 7.374" Properties=species:S:1:pos:R:3 pbc="T T T"
Ca 1.824 1.824 3.687
Ag 0.000 0.000 5.707
Ag 0.000 0.000 1.667
Er 1.824 1.824 0.000
```

Summary:
Space group   P4/mmm, No. 123
Total magnetic moment   0.0 μB/cell
Uncorrected energy   -13.584 eV for the cell shown


2.
A plane-wave DFT calculation with PBE was carried out for a relaxed CeScBi crystal.

```
3
Lattice="-2.631 -1.994 2.151 2.503 -3.033 0.250 2.194 4.649 3.385" Properties=species:S:1:pos:R:3 pbc="T T T"
Sc 1.753 -0.692 5.112
Bi 1.287 1.290 2.769
Ce 0.453 -1.995 2.313
```

Summary:
Space group   I4mm, No. 107
Total magnetic moment   1.9 μB/cell
Uncorrected energy   -17.134 eV for the cell shown


3.
A plane-wave DFT calculation with PBE was carried out for a relaxed Na3TbU3Se8 crystal.

```
15
Lattice="-0.454 5.969 -5.726 -6.873 -2.595 3.831 5.685 4.629 4.375" Properties=species:S:1:pos:R:3 pbc="T T T"
Na 0.000 0.000 0.000
Na -3.436 -1.298 1.916
Na -3.663 1.687 -0.947
Tb 2.843 2.314 2.188
U 2.616 5.299 -0.675
U -0.821 4.001 1.241
U -0.594 1.017 4.103
Se -2.113 1.433 1.662
Se 0.471 6.569 0.819
Se -2.322 4.442 -1.177
Se 0.681 3.560 3.658
Se 1.102 5.735 -3.083
Se -2.744 2.268 5.564
Se 1.328 2.765 -0.233
Se -2.969 5.238 2.715
```

Summary:
Space group   R-3m, No. 166
Total magnetic moment   8.0 μB/cell
Uncorrected energy   -90.076 eV for the cell shown
Formation energy from raw total energies   -1317 meV per atom


4.
A plane-wave DFT calculation with PBE was carried out for a relaxed BeSiN2O crystal.

```
5
Lattice="3.691 0.000 0.000 0.000 3.691 0.000 0.000 0.000 3.106" Properties=species:S:1:pos:R:3 pbc="T T T"
Be 0.000 0.000 0.000
Si 1.846 1.846 1.553
O 0.000 0.000 1.553
N 0.000 1.846 0.000
N 1.846 0.000 0.000
```

Summary:
Space group   P4/mmm, No. 123
Total magnetic moment   1.2 μB/cell
Uncorrected energy   -26.700 eV for the cell shown
Formation energy from raw total energies   812 meV per atom


5.
A plane-wave DFT calculation with PBE was carried out for a relaxed KRbLiBi crystal.

```
4
Lattice="-3.886 -3.590 -2.398 1.737 -4.056 -3.779 -0.093 -5.608 1.511" Properties=species:S:1:pos:R:3 pbc="T T T"
K -1.121 -6.627 -2.333
Bi -1.682 -9.940 -3.499
Rb -0.561 -3.313 -1.166
Li 0.000 0.000 0.000
```

Summary:
Space group   F-43m, No. 216
Total magnetic moment   0.0 μB/cell
Uncorrected energy   -9.118 eV for the cell shown


6.
A plane-wave DFT calculation with PBE was carried out for a relaxed Er3HgRu2 crystal.

```
6
Lattice="3.410 0.000 0.000 0.000 3.410 0.000 0.000 0.000 10.928" Properties=species:S:1:pos:R:3 pbc="T T T"
Er 0.000 0.000 0.000
Er 0.000 0.000 7.610
Er 0.000 0.000 3.318
Hg 1.705 1.705 5.464
Ru 1.705 1.705 9.198
Ru 1.705 1.705 1.731
```

Summary:
Space group   P4/mmm, No. 123
Total magnetic moment   0.0 μB/cell
Uncorrected energy   -35.485 eV for the cell shown


7.
A plane-wave DFT calculation with PBE was carried out for a relaxed SrLiThO4 crystal.

```
14
Lattice="4.861 0.000 0.000 0.000 5.661 0.000 -2.430 0.000 6.546" Properties=species:S:1:pos:R:3 pbc="T T T"
Sr 2.430 4.246 1.383
Sr 0.000 1.415 5.163
Li 0.000 4.246 3.314
Li 2.430 1.415 3.232
Th 0.000 1.415 1.568
Th 2.430 4.246 4.978
O 2.430 1.415 5.853
O 0.000 4.246 5.446
O 0.000 4.246 0.693
O 2.430 1.415 1.101
O 1.215 2.830 3.273
O -1.215 0.000 3.273
O 1.215 0.000 3.273
O -1.215 2.830 3.273
```

Summary:
Space group   Cmcm, No. 63
Total magnetic moment   0.5 μB/cell
Uncorrected energy   -99.117 eV for the cell shown
Formation energy from raw total energies   -2673 meV per atom


8.
A plane-wave DFT calculation with PBE was carried out for a relaxed Y2Ga5Co2Rh crystal.

```
20
Lattice="3.857 0.000 0.000 0.000 9.288 0.000 0.000 0.000 9.288" Properties=species:S:1:pos:R:3 pbc="T T T"
Y 0.000 6.333 1.689
Y 0.000 2.955 7.599
Y 0.000 1.689 2.955
Y 0.000 7.599 6.333
Ga 1.928 1.888 0.537
Ga 1.928 7.400 8.751
Ga 1.928 0.537 7.400
Ga 1.928 6.532 4.107
Ga 1.928 8.751 1.888
Ga 1.928 2.756 5.181
Ga 1.928 5.181 6.532
Ga 1.928 4.107 2.756
Ga 1.928 4.644 0.000
Ga 1.928 0.000 4.644
Co 0.000 1.056 5.700
Co 0.000 8.232 3.588
Co 0.000 5.700 8.232
Co 0.000 3.588 1.056
Rh 0.000 0.000 0.000
Rh 0.000 4.644 4.644
```

Summary:
Space group   P4/mbm, No. 127
Total magnetic moment   0.0 μB/cell
Uncorrected energy   -108.166 eV for the cell shown


9.
A plane-wave DFT calculation with PBE was carried out for a relaxed ScInW2 crystal.

```
4
Lattice="2.834 0.035 0.000 -0.632 2.763 0.000 0.000 0.000 9.370" Properties=species:S:1:pos:R:3 pbc="T T T"
In 1.101 1.399 2.343
Sc 1.101 1.399 7.028
W 0.000 0.000 0.019
W 0.000 0.000 4.666
```

Summary:
Space group   Cmmm, No. 65
Total magnetic moment   0.0 μB/cell
Uncorrected energy   -33.284 eV for the cell shown


10.
A plane-wave DFT calculation with PBE was carried out for a relaxed K2SnS4 crystal.

```
7
Lattice="5.198 0.000 0.000 0.000 5.198 0.000 2.599 2.599 7.838" Properties=species:S:1:pos:R:3 pbc="T T T"
S 2.599 2.599 5.427
S 5.198 5.198 2.411
S 0.000 2.599 0.000
S 2.599 0.000 0.000
K 2.599 2.599 2.171
K 5.198 5.198 5.666
Sn 0.000 0.000 0.000
```

Summary:
Space group   I4/mmm, No. 139
Total magnetic moment   0.0 μB/cell
Uncorrected energy   -25.726 eV for the cell shown
Formation energy from raw total energies   -431 meV per atom


11.
A plane-wave DFT calculation with PBE was carried out for a relaxed CuAg2HPd crystal.

```
5
Lattice="4.234 0.000 0.000 0.000 4.234 0.000 0.000 0.000 3.746" Properties=species:S:1:pos:R:3 pbc="T T T"
H 0.000 0.000 0.000
Cu 2.117 2.117 1.873
Pd 0.000 0.000 1.873
Ag 0.000 2.117 0.000
Ag 2.117 0.000 0.000
```

Summary:
Space group   P4/mmm, No. 123
Total magnetic moment   0.0 μB/cell
Uncorrected energy   -18.034 eV for the cell shown


12.
A plane-wave DFT calculation with PBE was carried out for a relaxed PmAg4F12 crystal.

```
17
Lattice="6.839 -0.021 -2.655 -3.318 6.104 -2.357 -0.178 0.021 7.334" Properties=species:S:1:pos:R:3 pbc="T T T"
Pm -1.748 3.063 2.489
Ag 3.420 -0.011 -1.328
Ag -1.659 3.052 -1.178
Ag -0.089 0.011 3.667
Ag 1.671 3.052 1.161
F -1.320 4.411 4.425
F -2.170 4.402 0.545
F 0.224 4.402 2.226
F 1.576 0.448 4.837
F 3.085 3.055 2.689
F 0.219 1.715 2.234
F 3.124 4.389 0.088
F 1.766 5.656 -2.514
F 0.258 3.049 -0.367
F 3.119 1.702 0.096
F 5.513 1.702 1.778
F 4.663 1.693 -2.103
```

Summary:
Space group   I4/mmm, No. 139
Total magnetic moment   0.0 μB/cell
Uncorrected energy   -68.846 eV for the cell shown
Formation energy from raw total energies   -1779 meV per atom